PmNp3S6: optimized geometry, PBE.

Cell and atoms, written as POSCAR:
```
PmNp3S6
1.0
3.951 0.000 0.000
0.000 14.677 -0.588
0.000 -5.659 8.748
S Np Pm
12 6 2
Direct
0.250 0.959 0.459 S
0.250 0.051 0.838 S
0.250 0.568 0.783 S
0.750 0.254 0.402 S
0.750 0.865 0.918 S
0.250 0.746 0.598 S
0.250 0.135 0.082 S
0.250 0.282 0.735 S
0.750 0.718 0.265 S
0.750 0.949 0.162 S
0.750 0.041 0.541 S
0.750 0.432 0.217 S
0.750 0.717 0.984 Np
0.750 0.439 0.954 Np
0.750 0.407 0.701 Np
0.250 0.561 0.046 Np
0.250 0.593 0.299 Np
0.250 0.283 0.016 Np
0.750 0.889 0.625 Pm
0.250 0.111 0.375 Pm
```

Computed properties:
- size of the total moment (μB per formula unit) = 6.8
- energy relative to the elements, uncorrected (eV per formula unit) = -9.14